Material: CsRbThBr6
Method: DFT, PBE
State: optimized geometry

Calculated volume = 50.144 Å³ per atom
Total DFT energy (no corrections) = -0.2904 Ry/atom
E_form (uncorrected) = -16.28 eV per formula unit

a b c (Å): 8.5243 8.5243 14.3430
angles (deg): 90.00 90.00 120.00
With the nearest neighbours (Å) after each atom.
Space group P-31c (No. 163)
One atom of each set of equivalent atoms:
Cs (0.0000, 0.0000, 0.0000) x2  6 Br 3.72
Rb (0.3333, 0.6667, 0.2500) x2  6 Br 3.49
Th (0.3333, 0.6667, 0.7500) x2  6 Br 2.86
Br (0.0551, 0.3959, 0.6356) x12  1 Th 2.86

---

Material: LiErGePd
Method: DFT, PBE
State: optimized geometry

Calculated volume = 17.059 Å³ per atom
Total DFT energy (no corrections) = -0.3532 Ry/atom
Energy of formation from the pure elements = -0.733 eV per atom

a b c (Å): 6.4867 6.4867 6.4867
angles (deg): 90.00 90.00 90.00
With the nearest neighbours (Å) after each atom.
Space group F-43m (No. 216)
One atom of each set of equivalent atoms:
Li (0.0000, 0.0000, 0.0000) x4  4 Ge 2.81, 4 Er 2.81
Er (0.2500, 0.2500, 0.7500) x4  4 Li 2.81, 4 Pd 2.81
Ge (0.2500, 0.2500, 0.2500) x4  4 Pd 2.81, 4 Li 2.81
Pd (0.0000, 0.0000, 0.5000) x4  4 Er 2.81, 4 Ge 2.81